Record 1
Computed, not measured: a geometry-optimized Zr2CdAg structure at the GGA-PBE level of DFT.

a b c (Å): 10.593 10.593 10.593
angles (deg): 16.59 16.59 16.59
Sites, in units of the cell vectors:
Zr1 0.998 0.998 0.998
Zr2 0.502 0.502 0.502
Cd1 0.750 0.750 0.750
Ag1 0.250 0.250 0.250

Computed properties:
ΔE_f in kJ per mole of atoms: 4.3
DFT total energy in eV per atom: -5.171
DOS(E_F) in states/eV/atom: 1.29
Symmetry: No. 166

---

Record 2
Computed, not measured: a geometry-optimized KCdMo structure at the GGA-PBE level of DFT.

a b c (Å): 8.688 8.688 2.831
angles (deg): 80.62 80.63 18.75
Sites, in units of the cell vectors:
Mo1 0.347 0.347 0.653
Cd1 0.982 0.982 0.018
K1 0.670 0.670 0.330

Computed properties:
Energy relative to the lowest polymorph listed for this composition in meV/atom: 0
ΔE_f in kJ per mole of atoms: 84.4
DFT total energy in eV per atom: -3.407
DOS(E_F) in states/eV/atom: 0.82
Symmetry: No. 107